1.
A relaxed structure of CdHgPt2, computed with GGA-PBE.

Output
SG   No. 12
Total magnetization   0.00 μB/f.u.
VASP energy   -3.47 eV/atom
N(E_F)   1.56 states/eV per cell
Energy relative to the elements   -0.580 eV per formula unit

```
data_CdHgPt2
_cell_length_a 6.686
_cell_length_b 4.962
_cell_length_c 3.011
_cell_angle_alpha 89.69
_cell_angle_beta 63.74
_cell_angle_gamma 122.65
_space_group_name_H-M_alt 'P 1'
_space_group_IT_number 1
loop_
_space_group_symop_operation_xyz
'x,y,z'
loop_
_atom_site_label
_atom_site_type_symbol
_atom_site_fract_x
_atom_site_fract_y
_atom_site_fract_z
Hg1 Hg 0.500 0.500 0.000
Pt1 Pt 0.000 0.000 0.000
Pt2 Pt 0.500 0.000 0.500
Cd1 Cd 0.000 0.500 0.500
```



2.
A relaxed structure of CdHgPt2, computed with GGA-PBE.

Output
SG   No. 25
Total magnetization   0.00 μB/f.u.
VASP energy   -3.44 eV/atom
N(E_F)   1.15 states/eV per cell
Energy relative to the elements   -0.474 eV per formula unit

```
data_CdHgPt2
_cell_length_a 4.817
_cell_length_b 2.995
_cell_length_c 4.969
_cell_angle_alpha 90.01
_cell_angle_beta 90.00
_cell_angle_gamma 90.00
_space_group_name_H-M_alt 'P 1'
_space_group_IT_number 1
loop_
_space_group_symop_operation_xyz
'x,y,z'
loop_
_atom_site_label
_atom_site_type_symbol
_atom_site_fract_x
_atom_site_fract_y
_atom_site_fract_z
Hg1 Hg 0.500 0.625 0.823
Pt1 Pt 0.000 0.125 0.935
Pt2 Pt 0.500 0.125 0.316
Cd1 Cd 0.000 0.625 0.426
```



3.
A relaxed structure of CdHgPt, computed with GGA-PBE.

Output
SG   No. 70
Total magnetization   0.00 μB/f.u.
VASP energy   -2.58 eV/atom
N(E_F)   5.83 states/eV per cell
Energy relative to the elements   -0.489 eV per formula unit

```
data_CdHgPt
_cell_length_a 5.467
_cell_length_b 5.634
_cell_length_c 9.796
_cell_angle_alpha 82.22
_cell_angle_beta 73.80
_cell_angle_gamma 60.98
_space_group_name_H-M_alt 'P 1'
_space_group_IT_number 1
loop_
_space_group_symop_operation_xyz
'x,y,z'
loop_
_atom_site_label
_atom_site_type_symbol
_atom_site_fract_x
_atom_site_fract_y
_atom_site_fract_z
Cd1 Cd 0.160 0.500 0.680
Cd2 Cd 0.340 0.500 0.320
Cd3 Cd 0.590 0.000 0.820
Cd4 Cd 0.410 0.000 0.180
Pt1 Pt 0.621 0.500 0.757
Pt2 Pt 0.879 0.500 0.243
Pt3 Pt 0.129 0.000 0.743
Pt4 Pt 0.871 0.000 0.257
Hg1 Hg 0.910 0.180 0.500
Hg2 Hg 0.590 0.820 0.500
Hg3 Hg 0.840 0.320 0.000
Hg4 Hg 0.160 0.680 0.000
```



4.
A relaxed structure of CdHgPt2, computed with GGA-PBE.

Output
SG   No. 8
Total magnetization   0.00 μB/f.u.
VASP energy   -3.43 eV/atom
N(E_F)   1.47 states/eV per cell
Energy relative to the elements   -0.432 eV per formula unit

```
data_CdHgPt2
_cell_length_a 5.372
_cell_length_b 5.372
_cell_length_c 4.897
_cell_angle_alpha 76.13
_cell_angle_beta 76.13
_cell_angle_gamma 32.24
_space_group_name_H-M_alt 'P 1'
_space_group_IT_number 1
loop_
_space_group_symop_operation_xyz
'x,y,z'
loop_
_atom_site_label
_atom_site_type_symbol
_atom_site_fract_x
_atom_site_fract_y
_atom_site_fract_z
Hg1 Hg 0.269 0.269 0.192
Pt1 Pt 0.018 0.018 0.042
Pt2 Pt 0.732 0.732 0.707
Cd1 Cd 0.481 0.481 0.558
```



5.
A relaxed structure of CdHg2Pt, computed with GGA-PBE.

Output
SG   No. 8
Total magnetization   0.00 μB/f.u.
VASP energy   -1.94 eV/atom
N(E_F)   1.30 states/eV per cell
Energy relative to the elements   -0.220 eV per formula unit

```
data_CdHg2Pt
_cell_length_a 7.044
_cell_length_b 7.044
_cell_length_c 4.771
_cell_angle_alpha 70.55
_cell_angle_beta 70.55
_cell_angle_gamma 24.15
_space_group_name_H-M_alt 'P 1'
_space_group_IT_number 1
loop_
_space_group_symop_operation_xyz
'x,y,z'
loop_
_atom_site_label
_atom_site_type_symbol
_atom_site_fract_x
_atom_site_fract_y
_atom_site_fract_z
Hg1 Hg 0.001 0.001 0.998
Hg2 Hg 0.806 0.806 0.696
Pt1 Pt 0.503 0.503 0.496
Cd1 Cd 0.190 0.190 0.310
```



6.
A relaxed structure of CdHgPt2, computed with GGA-PBE.

Output
SG   No. 99
Total magnetization   0.00 μB/f.u.
VASP energy   -3.34 eV/atom
N(E_F)   2.28 states/eV per cell
Energy relative to the elements   -0.053 eV per formula unit

```
data_CdHgPt2
_cell_length_a 2.964
_cell_length_b 2.964
_cell_length_c 8.352
_cell_angle_alpha 90.00
_cell_angle_beta 90.00
_cell_angle_gamma 89.94
_space_group_name_H-M_alt 'P 1'
_space_group_IT_number 1
loop_
_space_group_symop_operation_xyz
'x,y,z'
loop_
_atom_site_label
_atom_site_type_symbol
_atom_site_fract_x
_atom_site_fract_y
_atom_site_fract_z
Hg1 Hg 0.500 0.500 0.768
Pt1 Pt 0.000 0.000 0.015
Pt2 Pt 0.500 0.500 0.242
Cd1 Cd 0.000 0.000 0.474
```



7.
A relaxed structure of CdHgPt, computed with GGA-PBE.

Output
SG   No. 107
Total magnetization   0.00 μB/f.u.
VASP energy   -2.46 eV/atom
N(E_F)   1.82 states/eV per cell
Energy relative to the elements   -0.122 eV per formula unit

```
data_CdHgPt
_cell_length_a 6.530
_cell_length_b 6.529
_cell_length_c 3.079
_cell_angle_alpha 76.38
_cell_angle_beta 76.34
_cell_angle_gamma 27.27
_space_group_name_H-M_alt 'P 1'
_space_group_IT_number 1
loop_
_space_group_symop_operation_xyz
'x,y,z'
loop_
_atom_site_label
_atom_site_type_symbol
_atom_site_fract_x
_atom_site_fract_y
_atom_site_fract_z
Hg1 Hg 0.324 0.324 0.676
Pt1 Pt 0.663 0.663 0.337
Cd1 Cd 0.014 0.014 0.986
```



8.
A relaxed structure of Cd2HgPt7, computed with GGA-PBE.

Output
SG   No. 2
Total magnetization   0.00 μB/f.u.
VASP energy   -4.40 eV/atom
N(E_F)   8.09 states/eV per cell
Energy relative to the elements   0.417 eV per formula unit

```
data_Cd2HgPt7
_cell_length_a 5.272
_cell_length_b 6.755
_cell_length_c 7.478
_cell_angle_alpha 118.82
_cell_angle_beta 56.19
_cell_angle_gamma 99.95
_space_group_name_H-M_alt 'P 1'
_space_group_IT_number 1
loop_
_space_group_symop_operation_xyz
'x,y,z'
loop_
_atom_site_label
_atom_site_type_symbol
_atom_site_fract_x
_atom_site_fract_y
_atom_site_fract_z
Cd1 Cd 0.287 0.804 0.491
Cd2 Cd 0.713 0.196 0.509
Hg1 Hg 0.000 0.000 0.000
Pt1 Pt 0.891 0.697 0.331
Pt2 Pt 0.109 0.303 0.669
Pt3 Pt 0.451 0.643 0.728
Pt4 Pt 0.549 0.357 0.272
Pt5 Pt 0.322 0.954 0.187
Pt6 Pt 0.678 0.046 0.813
Pt7 Pt 0.500 0.500 0.000
```



9.
A relaxed structure of Cd4HgPt, computed with GGA-PBE.

Output
SG   No. 2
Total magnetization   0.00 μB/f.u.
VASP energy   -1.77 eV/atom
N(E_F)   4.63 states/eV per cell
Energy relative to the elements   -0.614 eV per formula unit

```
data_Cd4HgPt
_cell_length_a 4.771
_cell_length_b 8.299
_cell_length_c 7.674
_cell_angle_alpha 98.81
_cell_angle_beta 106.96
_cell_angle_gamma 89.85
_space_group_name_H-M_alt 'P 1'
_space_group_IT_number 1
loop_
_space_group_symop_operation_xyz
'x,y,z'
loop_
_atom_site_label
_atom_site_type_symbol
_atom_site_fract_x
_atom_site_fract_y
_atom_site_fract_z
Cd1 Cd 0.691 0.065 0.871
Cd2 Cd 0.809 0.435 0.129
Cd3 Cd 0.309 0.935 0.129
Cd4 Cd 0.191 0.565 0.871
Cd5 Cd 0.042 0.846 0.589
Cd6 Cd 0.458 0.654 0.411
Cd7 Cd 0.958 0.154 0.411
Cd8 Cd 0.542 0.346 0.589
Hg1 Hg 0.750 0.750 0.999
Hg2 Hg 0.250 0.250 0.001
Pt1 Pt 0.500 0.000 0.500
Pt2 Pt 0.000 0.500 0.500
```



10.
A relaxed structure of CdHgPt2, computed with GGA-PBE.

Output
SG   No. 139
Total magnetization   0.00 μB/f.u.
VASP energy   -3.48 eV/atom
N(E_F)   0.97 states/eV per cell
Energy relative to the elements   -0.619 eV per formula unit

```
data_CdHgPt2
_cell_length_a 4.980
_cell_length_b 4.980
_cell_length_c 4.980
_cell_angle_alpha 129.69
_cell_angle_beta 129.69
_cell_angle_gamma 73.89
_space_group_name_H-M_alt 'P 1'
_space_group_IT_number 1
loop_
_space_group_symop_operation_xyz
'x,y,z'
loop_
_atom_site_label
_atom_site_type_symbol
_atom_site_fract_x
_atom_site_fract_y
_atom_site_fract_z
Hg1 Hg 0.750 0.250 0.500
Pt1 Pt 0.000 0.000 0.000
Pt2 Pt 0.500 0.500 0.000
Cd1 Cd 0.250 0.750 0.500
```



11.
A relaxed structure of CdHgPt, computed with GGA-PBE.

Output
SG   No. 216
Total magnetization   0.00 μB/f.u.
VASP energy   -2.53 eV/atom
N(E_F)   1.14 states/eV per cell
Energy relative to the elements   -0.327 eV per formula unit

```
data_CdHgPt
_cell_length_a 4.582
_cell_length_b 4.582
_cell_length_c 4.582
_cell_angle_alpha 60.00
_cell_angle_beta 60.00
_cell_angle_gamma 60.00
_space_group_name_H-M_alt 'P 1'
_space_group_IT_number 1
loop_
_space_group_symop_operation_xyz
'x,y,z'
loop_
_atom_site_label
_atom_site_type_symbol
_atom_site_fract_x
_atom_site_fract_y
_atom_site_fract_z
Hg1 Hg 0.500 0.500 0.500
Pt1 Pt 0.750 0.750 0.750
Cd1 Cd 0.000 0.000 0.000
```



12.
A relaxed structure of CdHgPt, computed with GGA-PBE.

Output
SG   No. 47
Total magnetization   0.00 μB/f.u.
VASP energy   -2.61 eV/atom
N(E_F)   0.89 states/eV per cell
Energy relative to the elements   -0.582 eV per formula unit

```
data_CdHgPt
_cell_length_a 2.965
_cell_length_b 4.774
_cell_length_c 4.817
_cell_angle_alpha 90.00
_cell_angle_beta 90.00
_cell_angle_gamma 90.00
_space_group_name_H-M_alt 'P 1'
_space_group_IT_number 1
loop_
_space_group_symop_operation_xyz
'x,y,z'
loop_
_atom_site_label
_atom_site_type_symbol
_atom_site_fract_x
_atom_site_fract_y
_atom_site_fract_z
Cd1 Cd 0.000 0.500 0.500
Hg1 Hg 0.000 0.000 0.000
Pt1 Pt 0.500 0.000 0.500
```



13.
A relaxed structure of CdHg2Pt, computed with GGA-PBE.

Output
SG   No. 160
Total magnetization   0.00 μB/f.u.
VASP energy   -1.83 eV/atom
N(E_F)   1.26 states/eV per cell
Energy relative to the elements   0.234 eV per formula unit

```
data_CdHg2Pt
_cell_length_a 10.312
_cell_length_b 10.312
_cell_length_c 10.312
_cell_angle_alpha 17.19
_cell_angle_beta 17.19
_cell_angle_gamma 17.19
_space_group_name_H-M_alt 'P 1'
_space_group_IT_number 1
loop_
_space_group_symop_operation_xyz
'x,y,z'
loop_
_atom_site_label
_atom_site_type_symbol
_atom_site_fract_x
_atom_site_fract_y
_atom_site_fract_z
Hg1 Hg 0.003 0.003 0.003
Hg2 Hg 0.241 0.241 0.241
Pt1 Pt 0.497 0.497 0.497
Cd1 Cd 0.759 0.759 0.759
```



14.
A relaxed structure of CdHgPt2, computed with GGA-PBE.

Output
SG   No. 122
Total magnetization   0.00 μB/f.u.
VASP energy   -3.20 eV/atom
N(E_F)   4.69 states/eV per cell
Energy relative to the elements   0.505 eV per formula unit

```
data_CdHgPt2
_cell_length_a 4.034
_cell_length_b 4.034
_cell_length_c 10.068
_cell_angle_alpha 78.44
_cell_angle_beta 78.44
_cell_angle_gamma 90.00
_space_group_name_H-M_alt 'P 1'
_space_group_IT_number 1
loop_
_space_group_symop_operation_xyz
'x,y,z'
loop_
_atom_site_label
_atom_site_type_symbol
_atom_site_fract_x
_atom_site_fract_y
_atom_site_fract_z
Hg1 Hg 0.000 0.000 0.000
Hg2 Hg 0.750 0.250 0.500
Pt1 Pt 0.624 0.125 0.250
Pt2 Pt 0.126 0.625 0.250
Pt3 Pt 0.375 0.376 0.750
Pt4 Pt 0.875 0.874 0.750
Cd1 Cd 0.500 0.500 0.000
Cd2 Cd 0.250 0.750 0.500
```



15.
A relaxed structure of CdHgPt2, computed with GGA-PBE.

Output
SG   No. 216
Total magnetization   0.00 μB/f.u.
VASP energy   -3.35 eV/atom
N(E_F)   1.45 states/eV per cell
Energy relative to the elements   -0.106 eV per formula unit

```
data_CdHgPt2
_cell_length_a 4.672
_cell_length_b 4.672
_cell_length_c 4.672
_cell_angle_alpha 60.00
_cell_angle_beta 60.00
_cell_angle_gamma 60.00
_space_group_name_H-M_alt 'P 1'
_space_group_IT_number 1
loop_
_space_group_symop_operation_xyz
'x,y,z'
loop_
_atom_site_label
_atom_site_type_symbol
_atom_site_fract_x
_atom_site_fract_y
_atom_site_fract_z
Hg1 Hg 0.250 0.250 0.250
Pt1 Pt 0.000 0.000 0.000
Pt2 Pt 0.750 0.750 0.750
Cd1 Cd 0.500 0.500 0.500
```



16.
A relaxed structure of CdHg2Pt, computed with GGA-PBE.

Output
SG   No. 6
Total magnetization   0.00 μB/f.u.
VASP energy   -1.89 eV/atom
N(E_F)   0.94 states/eV per cell
Energy relative to the elements   -0.001 eV per formula unit

```
data_CdHg2Pt
_cell_length_a 4.121
_cell_length_b 3.202
_cell_length_c 6.759
_cell_angle_alpha 78.24
_cell_angle_beta 90.00
_cell_angle_gamma 90.00
_space_group_name_H-M_alt 'P 1'
_space_group_IT_number 1
loop_
_space_group_symop_operation_xyz
'x,y,z'
loop_
_atom_site_label
_atom_site_type_symbol
_atom_site_fract_x
_atom_site_fract_y
_atom_site_fract_z
Hg1 Hg 0.000 0.076 0.993
Hg2 Hg 0.500 0.421 0.256
Pt1 Pt 0.000 0.282 0.555
Cd1 Cd 0.500 0.721 0.696
```



17.
A relaxed structure of CdHgPt2, computed with GGA-PBE.

Output
SG   No. 10
Total magnetization   0.00 μB/f.u.
VASP energy   -3.47 eV/atom
N(E_F)   1.34 states/eV per cell
Energy relative to the elements   -0.600 eV per formula unit

```
data_CdHgPt2
_cell_length_a 3.913
_cell_length_b 3.023
_cell_length_c 6.732
_cell_angle_alpha 63.66
_cell_angle_beta 90.00
_cell_angle_gamma 90.00
_space_group_name_H-M_alt 'P 1'
_space_group_IT_number 1
loop_
_space_group_symop_operation_xyz
'x,y,z'
loop_
_atom_site_label
_atom_site_type_symbol
_atom_site_fract_x
_atom_site_fract_y
_atom_site_fract_z
Hg1 Hg 0.500 0.750 0.750
Pt1 Pt 0.000 0.996 0.004
Pt2 Pt 0.000 0.504 0.496
Cd1 Cd 0.500 0.250 0.250
```



18.
A relaxed structure of CdHg2Pt, computed with GGA-PBE.

Output
SG   No. 122
Total magnetization   0.00 μB/f.u.
VASP energy   -1.80 eV/atom
N(E_F)   3.84 states/eV per cell
Energy relative to the elements   0.354 eV per formula unit

```
data_CdHg2Pt
_cell_length_a 4.158
_cell_length_b 4.158
_cell_length_c 10.546
_cell_angle_alpha 78.63
_cell_angle_beta 78.63
_cell_angle_gamma 90.00
_space_group_name_H-M_alt 'P 1'
_space_group_IT_number 1
loop_
_space_group_symop_operation_xyz
'x,y,z'
loop_
_atom_site_label
_atom_site_type_symbol
_atom_site_fract_x
_atom_site_fract_y
_atom_site_fract_z
Hg1 Hg 0.636 0.125 0.250
Hg2 Hg 0.114 0.625 0.250
Hg3 Hg 0.375 0.364 0.750
Hg4 Hg 0.875 0.886 0.750
Pt1 Pt 0.000 0.000 0.000
Pt2 Pt 0.750 0.250 0.500
Cd1 Cd 0.500 0.500 0.000
Cd2 Cd 0.250 0.750 0.500
```



19.
A relaxed structure of Cd4HgPt, computed with GGA-PBE.

Output
SG   No. 216
Total magnetization   0.00 μB/f.u.
VASP energy   -1.48 eV/atom
N(E_F)   5.06 states/eV per cell
Energy relative to the elements   1.138 eV per formula unit

```
data_Cd4HgPt
_cell_length_a 5.633
_cell_length_b 5.633
_cell_length_c 5.633
_cell_angle_alpha 60.00
_cell_angle_beta 60.00
_cell_angle_gamma 60.00
_space_group_name_H-M_alt 'P 1'
_space_group_IT_number 1
loop_
_space_group_symop_operation_xyz
'x,y,z'
loop_
_atom_site_label
_atom_site_type_symbol
_atom_site_fract_x
_atom_site_fract_y
_atom_site_fract_z
Cd1 Cd 0.877 0.374 0.374
Cd2 Cd 0.374 0.374 0.877
Cd3 Cd 0.374 0.877 0.374
Cd4 Cd 0.374 0.374 0.374
Hg1 Hg 0.750 0.750 0.750
Pt1 Pt 0.000 0.000 0.000
```



20.
A relaxed structure of Cd3HgPt4, computed with GGA-PBE.

Output
SG   No. 12
Total magnetization   0.00 μB/f.u.
VASP energy   -3.65 eV/atom
N(E_F)   0.94 states/eV per cell
Energy relative to the elements   -1.952 eV per formula unit

```
data_Cd3HgPt4
_cell_length_a 4.258
_cell_length_b 4.257
_cell_length_c 8.359
_cell_angle_alpha 104.60
_cell_angle_beta 104.75
_cell_angle_gamma 90.00
_space_group_name_H-M_alt 'P 1'
_space_group_IT_number 1
loop_
_space_group_symop_operation_xyz
'x,y,z'
loop_
_atom_site_label
_atom_site_type_symbol
_atom_site_fract_x
_atom_site_fract_y
_atom_site_fract_z
Hg1 Hg 0.500 0.000 0.000
Pt1 Pt 0.374 0.374 0.748
Pt2 Pt 0.626 0.626 0.252
Pt3 Pt 0.126 0.126 0.252
Pt4 Pt 0.874 0.874 0.748
Cd1 Cd 0.000 0.500 0.000
Cd2 Cd 0.750 0.250 0.500
Cd3 Cd 0.250 0.750 0.500
```